[1]
Below is an optimized crystal structure of Hg2SbTe, with properties calculated at the PBE level.

The structure belongs to space group Pmmm (No. 47); the cell edges are 3.1459, 5.8941 and 6.0444 Å and the angles 90.00°, 90.00° and 90.00°. Symmetry generates all atoms from Hg at (0.0000, 0.0000, 0.0000), Hg at (0.5000, 0.5000, 0.5000), Sb at (0.0000, 0.5000, 0.0000) and Te at (0.5000, 0.0000, 0.5000).

=====

[2]
Below is an optimized crystal structure of HgSb2Te2, with properties calculated at the PBE level.

The structure belongs to space group P4/mbm (No. 127); the cell edges are 8.7184, 8.7184 and 3.9546 Å and the angles 90.00°, 90.00° and 90.00°. Symmetry generates all atoms from Hg at (0.0000, 0.0000, 0.0000), Sb at (0.1372, 0.3628, 0.5000) and Te at (0.1686, 0.6686, 0.0000).

=====

[3]
Below is an optimized crystal structure of Hg3SbTe4, with properties calculated at the PBE level.

The structure belongs to space group Imm2 (No. 44); the cell edges are 6.1599, 12.5850 and 6.1677 Å and the angles 90.00°, 90.00° and 90.00°. Symmetry generates all atoms from Hg at (0.0000, 0.0000, 0.0000), Hg at (0.0000, 0.2499, 0.5020), Sb at (0.0000, 0.5000, 0.0020), Te at (0.0000, 0.0000, 0.4953), Te at (0.0000, 0.2544, 0.9982) and Te at (0.0000, 0.5000, 0.4875).

=====

[4]
Below is an optimized crystal structure of Hg2SbTe, with properties calculated at the PBE level.

The structure belongs to space group Cmm2 (No. 35); the cell edges are 3.8736, 5.9786 and 10.1538 Å and the angles 90.00°, 90.00° and 90.00°. Symmetry generates all atoms from Hg at (0.0000, 0.0000, 0.0000), Hg at (0.0000, 0.5000, 0.2483), Sb at (0.0000, 0.0000, 0.5085) and Te at (0.0000, 0.5000, 0.7313).

=====

[5]
Below is an optimized crystal structure of HgSbTe, with properties calculated at the PBE level.

The structure belongs to space group Imm2 (No. 44); the cell edges are 3.0438, 6.8343 and 9.2983 Å and the angles 90.00°, 90.00° and 90.00°. Symmetry generates all atoms from Hg at (0.0000, 0.0000, 0.0000), Sb at (0.0000, 0.0000, 0.3427) and Te at (0.0000, 0.0000, 0.6485).

=====

[6]
Below is an optimized crystal structure of HgSb2Te2, with properties calculated at the PBE level.

The structure belongs to space group I4/mmm (No. 139); the cell edges are 5.9716, 5.9716 and 9.4658 Å and the angles 90.00°, 90.00° and 90.00°. Symmetry generates all atoms from Hg at (0.0000, 0.0000, 0.0000), Sb at (0.0000, 0.0000, 0.3356) and Te at (0.0000, 0.5000, 0.2500).

=====

[7]
Below is an optimized crystal structure of HgSbTe, with properties calculated at the PBE level.

The structure belongs to space group P2_1/m (No. 11); the cell edges are 5.9656, 4.3422 and 8.4651 Å and the angles 90.00°, 106.96° and 90.00°. Symmetry generates all atoms from Hg at (0.0638, 0.2500, 0.1655), Sb at (0.4380, 0.7500, 0.8409) and Te at (0.3696, 0.2500, 0.6047).

=====

[8]
Below is an optimized crystal structure of Hg2SbTe, with properties calculated at the PBE level.

The structure belongs to space group Fm-3m (No. 225); the cell edges are 7.5492, 7.5492 and 7.5492 Å and the angles 90.00°, 90.00° and 90.00°. Symmetry generates all atoms from Hg at (0.2500, 0.2500, 0.2500), Sb at (0.0000, 0.0000, 0.0000) and Te at (0.0000, 0.0000, 0.5000).

=====

[9]
Below is an optimized crystal structure of Hg2SbTe, with properties calculated at the PBE level.

The structure belongs to space group P4mm (No. 99); the cell edges are 3.8719, 3.8719 and 8.5193 Å and the angles 90.00°, 90.00° and 90.00°. Symmetry generates all atoms from Hg at (0.0000, 0.0000, 0.0000), Hg at (0.5000, 0.5000, 0.2254), Sb at (0.0000, 0.0000, 0.5132) and Te at (0.5000, 0.5000, 0.6705).

=====

[10]
Below is an optimized crystal structure of Hg2SbTe, with properties calculated at the PBE level.

The structure belongs to space group P4/mmm (No. 123); the cell edges are 5.0069, 5.0069 and 4.3312 Å and the angles 90.00°, 90.00° and 90.00°. Symmetry generates all atoms from Hg at (0.0000, 0.5000, 0.0000), Sb at (0.0000, 0.0000, 0.5000) and Te at (0.5000, 0.5000, 0.5000).

=====

[11]
Below is an optimized crystal structure of Hg2SbTe, with properties calculated at the PBE level.

The structure belongs to space group Pna2_1 (No. 33); the cell edges are 7.9113, 9.3221 and 7.7833 Å and the angles 90.00°, 90.00° and 90.00°. Symmetry generates all atoms from Hg at (0.0751, 0.1198, 0.0000), Hg at (0.0803, 0.6295, 0.9817), Sb at (0.0828, 0.1247, 0.3589) and Te at (0.0848, 0.6260, 0.3560).

=====

[12]
Below is an optimized crystal structure of Hg2SbTe, with properties calculated at the PBE level.

The structure belongs to space group I-42d (No. 122); the cell edges are 6.6559, 6.6559 and 12.9370 Å and the angles 90.00°, 90.00° and 90.00°. Symmetry generates all atoms from Hg at (0.2386, 0.2500, 0.1250), Sb at (0.0000, 0.0000, 0.0000) and Te at (0.0000, 0.0000, 0.5000).

=====

[13]
Below is an optimized crystal structure of Hg2SbTe, with properties calculated at the PBE level.

The structure belongs to space group Imm2 (No. 44); the cell edges are 3.9969, 4.1814 and 15.3148 Å and the angles 90.00°, 90.00° and 90.00°. Symmetry generates all atoms from Hg at (0.0000, 0.0000, 0.0000), Hg at (0.0000, 0.5000, 0.1470), Sb at (0.0000, 0.5000, 0.7442) and Te at (0.0000, 0.0000, 0.3793).

=====

[14]
Below is an optimized crystal structure of Hg2SbTe2, with properties calculated at the PBE level.

The structure belongs to space group I4/mmm (No. 139); the cell edges are 4.2014, 4.2014 and 18.1082 Å and the angles 90.00°, 90.00° and 90.00°. Symmetry generates all atoms from Hg at (0.0000, 0.0000, 0.0849), Sb at (0.0000, 0.0000, 0.5000) and Te at (0.0000, 0.5000, 0.2500).

=====

[15]
Below is an optimized crystal structure of HgSbTe, with properties calculated at the PBE level.

The structure belongs to space group P3m1 (No. 156); the cell edges are 5.6428, 5.6428 and 3.1097 Å and the angles 90.00°, 90.00° and 120.00°. Symmetry generates all atoms from Hg at (0.0000, 0.0000, 0.0000), Sb at (0.6667, 0.3333, 0.4817) and Te at (0.3333, 0.6667, 0.4827).

=====

[16]
Below is an optimized crystal structure of Hg2SbTe, with properties calculated at the PBE level.

The structure belongs to space group C2/m (No. 12); the cell edges are 13.5705, 4.0010 and 4.6319 Å and the angles 90.00°, 108.21° and 90.00°. Symmetry generates all atoms from Hg at (0.2209, 0.0000, 0.2230), Sb at (0.0000, 0.5000, 0.0000) and Te at (0.0000, 0.0000, 0.5000).

=====

[17]
Below is an optimized crystal structure of Hg2SbTe, with properties calculated at the PBE level.

The structure belongs to space group Pm (No. 6); the cell edges are 3.1848, 4.1985 and 9.0482 Å and the angles 90.00°, 99.25° and 90.00°. Symmetry generates all atoms from Hg at (0.0000, 0.0000, 0.0000), Hg at (0.4307, 0.5000, 0.7853), Sb at (0.2834, 0.0000, 0.5269) and Te at (0.1701, 0.5000, 0.2835).

=====

[18]
Below is an optimized crystal structure of HgSbTe, with properties calculated at the PBE level.

The structure belongs to space group I4mm (No. 107); the cell edges are 3.8783, 3.8783 and 13.0754 Å and the angles 90.00°, 90.00° and 90.00°. Symmetry generates all atoms from Hg at (0.0000, 0.0000, 0.0000), Sb at (0.0000, 0.0000, 0.3121) and Te at (0.0000, 0.0000, 0.7100).

=====

[19]
Below is an optimized crystal structure of Hg2SbTe, with properties calculated at the PBE level.

The structure belongs to space group Cmmm (No. 65); the cell edges are 6.0221, 13.5212 and 3.0748 Å and the angles 90.00°, 90.00° and 90.00°. Symmetry generates all atoms from Hg at (0.2500, 0.2500, 0.0000), Sb at (0.0000, 0.0000, 0.5000) and Te at (0.0000, 0.5000, 0.5000).

=====

[20]
Below is an optimized crystal structure of HgSb2Te2, with properties calculated at the PBE level.

The structure belongs to space group C2/m (No. 12); the cell edges are 10.1370, 7.7636 and 4.6079 Å and the angles 90.00°, 92.20° and 90.00°. Symmetry generates all atoms from Hg at (0.0000, 0.0000, 0.0000), Sb at (0.0000, 0.2448, 0.5000) and Te at (0.2078, 0.5000, 0.5411).

=====

Calculated excess energy over the best structure of this formula in the dataset (eV/f.u.), listed in the same order as above: 0.32, 0.72, 0.00, 0.55, 0.42, 0.00, 0.00, 1.02, 0.19, 0.87, 0.16, 0.12, 0.25, 0.99, 0.28, 0.39, 0.00, 0.17, 0.38, 0.32
Calculated formation energy (no corrections) (eV/atom), listed in the same order as above: 0.10, 0.17, -0.05, 0.15, 0.18, 0.03, 0.04, 0.27, 0.06, 0.23, 0.06, 0.04, 0.08, 0.28, 0.13, 0.11, 0.02, 0.10, 0.11, 0.09